! K3Mo5O12 PBE with a Hubbard U optimized geometry; values from VASP
! * M_tot: 9.0 μB per formula unit
! * space-group type: Ia-3d
! * theoretical density: 4.202 g/cm3
! * E: -0.4850 Ry per atom
&SYSTEM
  ibrav = 0, nat = 80, ntyp = 3
/
ATOMIC_SPECIES
O 16.00 O.upf
Mo 95.94 Mo.upf
K 39.10 K.upf
CELL_PARAMETERS angstrom
11.745 0.000 0.000
-3.915 11.073 0.000
-3.915 -5.536 9.589
ATOMIC_POSITIONS crystal
O 0.608 0.610 0.419
O 0.581 0.692 0.689
O 0.108 0.919 0.110
O 0.811 0.919 0.308
O 0.497 0.689 0.108
O 0.392 0.003 0.311
O 0.997 0.608 0.189
O 0.692 0.581 0.189
O 0.689 0.497 0.608
O 0.808 0.311 0.919
O 0.392 0.390 0.581
O 0.192 0.689 0.081
O 0.608 0.997 0.689
O 0.110 0.419 0.108
O 0.919 0.108 0.610
O 0.081 0.892 0.390
O 0.081 0.189 0.192
O 0.497 0.808 0.890
O 0.581 0.890 0.392
O 0.108 0.189 0.497
O 0.503 0.311 0.892
O 0.919 0.811 0.808
O 0.308 0.419 0.811
O 0.311 0.808 0.419
O 0.390 0.392 0.081
O 0.308 0.890 0.997
O 0.419 0.110 0.608
O 0.610 0.003 0.192
O 0.689 0.192 0.581
O 0.110 0.692 0.503
O 0.189 0.108 0.997
O 0.003 0.610 0.692
O 0.997 0.390 0.308
O 0.811 0.892 0.003
O 0.192 0.503 0.610
O 0.311 0.503 0.392
O 0.892 0.811 0.503
O 0.610 0.608 0.919
O 0.390 0.997 0.808
O 0.419 0.308 0.311
O 0.808 0.497 0.390
O 0.692 0.110 0.003
O 0.003 0.392 0.811
O 0.892 0.081 0.890
O 0.503 0.192 0.110
O 0.890 0.581 0.892
O 0.189 0.081 0.692
O 0.890 0.308 0.497
Mo 0.250 0.375 0.625
Mo 0.375 0.125 0.750
Mo 0.875 0.250 0.625
Mo 0.250 0.875 0.125
Mo 0.000 0.500 0.500
Mo 0.875 0.625 0.750
Mo 0.000 0.000 0.500
Mo 0.125 0.375 0.250
Mo 0.500 0.000 0.000
Mo 0.750 0.625 0.375
Mo 0.000 0.500 0.000
Mo 0.000 0.000 0.000
Mo 0.625 0.750 0.875
Mo 0.500 0.500 0.500
Mo 0.625 0.875 0.250
Mo 0.500 0.500 0.000
Mo 0.500 0.000 0.500
Mo 0.125 0.750 0.375
Mo 0.375 0.250 0.125
Mo 0.750 0.125 0.875
K 0.750 0.375 0.125
K 0.250 0.625 0.875
K 0.625 0.250 0.375
K 0.375 0.750 0.625
K 0.875 0.125 0.250
K 0.375 0.625 0.250
K 0.750 0.875 0.625
K 0.625 0.375 0.750
K 0.250 0.125 0.375
K 0.875 0.750 0.125
K 0.125 0.875 0.750
K 0.125 0.250 0.875